Below is a relaxed structure of SmAg2Sb, with properties calculated at the GGA-PBE level.

Structure (extended XYZ):
```
4
Lattice="-1.852 2.606 0.585 -2.905 -0.355 1.414 3.058 1.846 10.481" Properties=species:S:1:pos:R:3 pbc="T T T"
Sb -0.849 2.048 6.240
Sm 0.000 0.000 0.000
Ag -3.481 2.552 4.696
Ag 1.782 1.545 7.784
```

Output
Energy in eV per atom: -3.36

Below is a relaxed structure of SiTcSbO2, with properties calculated at the GGA-PBE level.

Structure (extended XYZ):
```
5
Lattice="-3.675 -0.098 0.886 -1.196 -2.375 -5.228 0.446 -3.457 1.468" Properties=species:S:1:pos:R:3 pbc="T T T"
O -1.838 -0.049 0.443
Tc -0.598 -1.188 -2.614
O 0.223 -1.728 0.734
Sb 0.000 0.000 0.000
Si -2.213 -2.965 -1.437
```

Output
Energy in eV per atom: -5.81

Below is a relaxed structure of NaCdBr2Cl, with properties calculated at the GGA-PBE level.

Structure (extended XYZ):
```
10
Lattice="-2.456 3.121 -0.811 -1.214 -1.878 6.585 7.076 6.380 3.124" Properties=species:S:1:pos:R:3 pbc="T T T"
Na -0.551 3.014 3.138
Br 1.355 2.586 5.852
Br -1.353 0.144 4.656
Cl 1.376 1.544 1.776
Br 2.050 5.037 3.046
Cd 0.000 0.000 0.000
Cd 3.538 3.190 1.562
Na 3.956 4.609 5.761
Br 4.758 7.479 4.242
Cl 2.029 6.079 7.123
```

Output
ΔE to the lowest computed polymorph in eV per formula unit: 0.000

Below is a relaxed structure of DyThAu2, with properties calculated at the GGA-PBE level.

Structure (extended XYZ):
```
4
Lattice="-2.524 -2.327 -0.957 -0.400 -0.968 3.407 -5.346 5.423 0.914" Properties=species:S:1:pos:R:3 pbc="T T T"
Dy -1.462 -1.648 1.225
Th -4.135 1.064 1.682
Au -1.224 1.242 0.209
Au -4.122 4.181 0.704
```

Output
Formation energy from the elements in meV per atom: -711
ΔE to the lowest computed polymorph in eV per formula unit: 0.134

Below is a relaxed structure of LaCrAg3, with properties calculated at the GGA-PBE level.

Structure (extended XYZ):
```
5
Lattice="5.606 0.000 0.000 0.000 5.606 0.000 0.000 0.000 5.606" Properties=species:S:1:pos:R:3 pbc="T T T"
Cr 2.803 2.803 2.803
Ag 2.803 0.000 0.000
La 0.000 0.000 0.000
Ag 0.000 0.000 2.803
Ag 0.000 2.803 0.000
```

Output
Formation energy from the elements in meV per atom: 1278
ΔE to the lowest computed polymorph in eV per formula unit: 4.302

Below is a relaxed structure of SrNi2Pd2, with properties calculated at the GGA-PBE level.

Structure (extended XYZ):
```
10
Lattice="7.605 0.000 0.000 0.000 7.605 0.000 0.000 0.000 2.880" Properties=species:S:1:pos:R:3 pbc="T T T"
Sr 3.803 3.803 0.000
Ni 6.351 2.548 1.440
Pd 6.613 4.795 0.000
Ni 2.548 1.254 1.440
Ni 5.057 6.351 1.440
Pd 4.795 0.992 0.000
Sr 0.000 0.000 0.000
Pd 2.811 6.613 0.000
Ni 1.254 5.057 1.440
Pd 0.992 2.811 0.000
```

Output
Formation energy from the elements in meV per atom: 18
ΔE to the lowest computed polymorph in eV per formula unit: 0.609

Below is a relaxed structure of YTlZnCl6, with properties calculated at the GGA-PBE level.

Structure (extended XYZ):
```
18
Lattice="6.742 0.000 0.000 -3.371 5.839 0.000 0.000 0.000 14.162" Properties=species:S:1:pos:R:3 pbc="T T T"
Cl 1.347 2.129 12.088
Cl 2.201 3.608 9.155
Cl -0.854 5.737 2.074
Cl 4.225 0.102 12.088
Cl 2.024 3.710 2.074
Cl -2.024 3.710 5.007
Zn 3.371 1.946 10.622
Cl 1.170 2.231 5.007
Tl 0.000 0.000 7.081
Cl 0.854 5.737 5.007
Y 0.000 3.893 10.622
Cl -1.170 2.231 2.074
Cl 4.542 3.608 12.088
Cl 5.395 2.129 9.155
Y 3.371 1.946 3.541
Zn 0.000 3.893 3.541
Cl 2.518 0.102 9.155
Tl 0.000 0.000 0.000
```

Output
Energy in eV per atom: -3.96

Below is a relaxed structure of Na4Np3GeN8, with properties calculated at the GGA-PBE level.

Structure (extended XYZ):
```
16
Lattice="6.897 0.000 0.000 0.000 6.880 -0.015 -3.449 -3.447 4.880" Properties=species:S:1:pos:R:3 pbc="T T T"
N 3.449 0.422 2.491
Na 0.000 0.000 0.000
Na 3.449 0.000 0.000
N 3.449 3.161 2.237
N 0.000 3.011 2.375
N 0.000 0.271 2.628
N 1.899 1.972 0.297
Np -1.724 1.716 2.433
Np 3.449 3.440 -0.007
N -1.549 1.460 4.569
Np 1.724 1.716 2.433
Na -1.724 -1.724 2.440
N 4.998 1.972 0.297
Ge 0.000 3.440 -0.007
Na 1.724 -1.724 2.440
N 1.549 1.460 4.569
```

Output
Energy in eV per atom: -7.79

Below is a relaxed structure of CaCo2Br, with properties calculated at the GGA-PBE level.

Structure (extended XYZ):
```
8
Lattice="-1.333 -2.409 3.768 3.982 1.150 2.144 -2.048 5.714 5.818" Properties=species:S:1:pos:R:3 pbc="T T T"
Co 0.810 0.038 6.093
Br -1.028 1.338 6.271
Ca 1.324 -0.630 2.956
Co -1.537 3.526 6.045
Br 0.000 0.000 0.000
Co -2.206 2.321 7.928
Ca 1.629 3.117 5.459
Co -1.180 -0.535 5.018
```

Output
ΔE to the lowest computed polymorph in eV per formula unit: 2.031

Below is a relaxed structure of Tc2RhCN, with properties calculated at the GGA-PBE level.

Structure (extended XYZ):
```
5
Lattice="-2.444 0.932 -3.640 -1.189 -2.664 0.117 -3.284 1.581 2.610" Properties=species:S:1:pos:R:3 pbc="T T T"
C 0.000 0.000 0.000
Tc -1.642 0.790 1.305
Tc -1.222 0.466 -1.820
Rh -3.459 -0.075 -0.457
N -0.595 -1.332 0.058
```

Output
Energy in eV per atom: -7.78

Below is a relaxed structure of AsHSe, with properties calculated at the GGA-PBE level.

Structure (extended XYZ):
```
6
Lattice="3.552 0.004 -0.045 1.736 8.104 -2.320 0.063 -0.227 4.772" Properties=species:S:1:pos:R:3 pbc="T T T"
H 2.740 3.633 0.604
Se 0.996 3.012 2.915
As 4.516 7.145 0.764
H 4.529 5.792 1.529
Se 2.721 6.409 -0.736
As 2.754 2.280 1.370
```

Output
ΔE to the lowest computed polymorph in eV per formula unit: 0.107

Below is a relaxed structure of SrBePt, with properties calculated at the GGA-PBE level.

Structure (extended XYZ):
```
3
Lattice="-3.708 2.101 1.922 -4.150 -2.154 0.036 -1.769 -1.599 4.022" Properties=species:S:1:pos:R:3 pbc="T T T"
Be -4.814 -0.826 2.990
Sr 0.000 0.000 0.000
Pt -2.407 -0.413 1.495
```

Output
Formation energy from the elements in meV per atom: 17
ΔE to the lowest computed polymorph in eV per formula unit: 1.886